[1]
4
Lattice="3.641 0.000 0.000 0.006 3.782 0.000 0.043 0.251 5.674" Properties=species:S:1:pos:R:3 comment="NaAsSO | Alexandria | PBE | optimized geometry" space_group="P1 (1)" raw_formation_energy_ev_per_atom=-0.987 crystal_system=triclinic energy_ev_per_atom=-4.750 rho_kg_m3=3103 pbc="T T T"
Na 0.000 0.000 0.000
As 1.858 2.041 3.370
S 0.032 3.596 2.862
O 1.858 2.035 5.109

---

[2]
8
Lattice="4.146 0.000 0.000 -2.073 3.590 0.000 0.000 0.000 13.931" Properties=species:S:1:pos:R:3 comment="Pu2AsSe | Alexandria | PBE | optimized geometry" n_ef_per_ev_atom=4.51 space_group="P6_3/mmc (194)" raw_formation_energy_ev_per_atom=-1.244 crystal_system=hexagonal de_polymorph_ev_per_atom=0.0633 energy_ev_per_atom=-10.443 rho_kg_m3=10281 pbc="T T T"
Pu 0.000 2.394 1.663
Pu 0.000 2.394 5.302
Pu 2.073 1.197 8.628
Pu 2.073 1.197 12.268
As 0.000 0.000 0.000
As 0.000 0.000 6.965
Se 0.000 2.394 10.448
Se 2.073 1.197 3.483

---

Number 1: magnetic moment 0.00 μB per formula unit. Number 2: magnetic moment 10.99 μB per formula unit.